Compound: TaFeSbO6
Source: Alexandria via LeMat-Bulk
Functional: GGA+U
Structure: relaxed Values from VASP.

Calculated values
Density of states at the Fermi level in states/eV per atom: 0.492
SG: No. 163
Total DFT energy (no corrections) in eV per atom: -7.5100

Cell and atoms, written as Quantum ESPRESSO input:
```
&SYSTEM
  ibrav = 0, nat = 18, ntyp = 4
/
ATOMIC_SPECIES
Ta 180.95 Ta.upf
Fe 55.84 Fe.upf
Sb 121.76 Sb.upf
O 16.00 O.upf
ATOMIC_POSITIONS angstrom
Ta 0.000 3.044 2.278
Ta 2.636 1.522 6.834
Fe 0.000 0.000 0.000
Fe 0.000 0.000 4.556
Sb 0.000 3.044 6.834
Sb 2.636 1.522 2.278
O -0.913 1.601 1.207
O -1.705 2.974 3.349
O 0.913 1.601 3.349
O -0.793 4.555 1.207
O 1.843 0.010 5.763
O 0.931 1.591 7.906
O 1.705 2.974 1.207
O 0.793 4.555 3.349
O 3.429 0.010 7.906
O 1.723 2.964 5.763
O 4.341 1.591 5.763
O 3.549 2.964 7.906
CELL_PARAMETERS angstrom
5.272 0.000 0.000
-2.636 4.566 0.000
0.000 0.000 9.113
```